# HgP2Se

A relaxed HgP2Se crystal (GGA-PBE, Alexandria via LeMat-Bulk).

Cell: 3.154 3.154 9.704 Å, 90.00 90.00 90.00°
Sites, in units of the cell vectors:
Hg  0.500  0.500  0.756
P  0.000  0.000  0.196
P  0.500  0.500  0.120
Se  0.000  0.000  0.428

magnetic moment	0.00	μB/cell
offset from the most stable computed form	0.067	eV/atom
SG	No. 99
ΔE_f (raw)	0.19	eV/atom